Computed, not measured: crystalline NbVTe3 at its relaxed geometry at the PBE-GGA level of DFT.

## Properties
formation energy (no corrections)	0.615	eV per atom
total magnetization	4.0	Bohr magnetons per cell
ρ	5.5	g cm⁻³
energy above the lowest structure with this stoichiometry	18.37	kcal/mol of atoms

Cell and atoms, written as CIF:
```
data_NbVTe3
_cell_length_a 5.416
_cell_length_b 5.416
_cell_length_c 5.416
_cell_angle_alpha 90.00
_cell_angle_beta 90.00
_cell_angle_gamma 90.00
_space_group_name_H-M_alt 'P m -3 m'
_space_group_IT_number 221
_space_group_name_Hall '-P 4 2 3'
loop_
_atom_site_label
_atom_site_fract_x
_atom_site_fract_y
_atom_site_fract_z
Nb1 0.000 0.000 0.000
V1 0.500 0.500 0.500
Te1 0.000 0.000 0.500
```

Computed, not measured: crystalline CsLaSi2Bi at its relaxed geometry at the PBE-GGA level of DFT.

## Properties
formation energy (no corrections)	1.301	eV per atom
total magnetization	0.0	Bohr magnetons per cell
ρ	5.0	g cm⁻³

Cell and atoms, written as CIF:
```
data_CsLaSi2Bi
_cell_length_a 5.419
_cell_length_b 5.419
_cell_length_c 6.097
_cell_angle_alpha 90.00
_cell_angle_beta 90.00
_cell_angle_gamma 90.00
_space_group_name_H-M_alt 'P 4/m m m'
_space_group_IT_number 123
_space_group_name_Hall '-P 4 2'
loop_
_atom_site_label
_atom_site_fract_x
_atom_site_fract_y
_atom_site_fract_z
Cs1 0.000 0.000 0.000
La1 0.500 0.500 0.500
Si1 0.000 0.500 0.000
Bi1 0.000 0.000 0.500
```

Computed, not measured: crystalline PmS8 at its relaxed geometry at the PBE-GGA level of DFT.

## Properties
formation energy (no corrections)	0.178	eV per atom
total magnetization	1.0	Bohr magnetons per cell
ρ	2.7	g cm⁻³

Cell and atoms, written as CIF:
```
data_PmS8
_cell_length_a 10.565
_cell_length_b 10.565
_cell_length_c 4.474
_cell_angle_alpha 90.00
_cell_angle_beta 90.00
_cell_angle_gamma 90.00
_space_group_name_H-M_alt 'I 4/m m m'
_space_group_IT_number 139
_space_group_name_Hall '-I 4 2'
loop_
_atom_site_label
_atom_site_fract_x
_atom_site_fract_y
_atom_site_fract_z
Pm1 0.000 0.000 0.000
S1 0.000 0.403 0.000
S2 0.118 0.118 0.500
```

Computed, not measured: crystalline CeAl8Ag4 at its relaxed geometry at the PBE-GGA level of DFT.

## Properties
energy relative to the elements	-0.161	eV/atom
total magnetization	2.0	Bohr magnetons per cell
ρ	5.6	g cm⁻³

Cell and atoms, written as CIF:
```
data_CeAl8Ag4
_cell_length_a 9.208
_cell_length_b 9.208
_cell_length_c 5.539
_cell_angle_alpha 90.00
_cell_angle_beta 90.00
_cell_angle_gamma 90.00
_space_group_name_H-M_alt 'I 4/m m m'
_space_group_IT_number 139
_space_group_name_Hall '-I 4 2'
loop_
_atom_site_label
_atom_site_fract_x
_atom_site_fract_y
_atom_site_fract_z
Ce1 0.000 0.000 0.000
Al1 0.000 0.216 0.500
Al2 0.000 0.353 0.000
Ag1 0.250 0.250 0.250
```

Computed, not measured: crystalline Li2Al2Ga5 at its relaxed geometry at the PBE-GGA level of DFT.

## Properties
energy relative to the elements	-0.085	eV/atom
total magnetization	0.0	Bohr magnetons per cell
ρ	4.4	g cm⁻³
energy above the lowest structure with this stoichiometry	0.00	kcal/mol of atoms

Cell and atoms, written as CIF:
```
data_Li2Al2Ga5
_cell_length_a 16.435
_cell_length_b 2.885
_cell_length_c 6.622
_cell_angle_alpha 90.00
_cell_angle_beta 97.39
_cell_angle_gamma 90.00
_space_group_name_H-M_alt 'C 1 2/m 1'
_space_group_IT_number 12
loop_
_space_group_symop_operation_xyz
'x,y,z'
'-x,-y,-z'
'-x,y,-z'
'x,-y,z'
'x+1/2,y+1/2,z'
'-x+1/2,-y+1/2,-z'
'-x+1/2,y+1/2,-z'
'x+1/2,-y+1/2,z'
loop_
_atom_site_label
_atom_site_fract_x
_atom_site_fract_y
_atom_site_fract_z
Li1 0.049 0.000 0.189
Al1 0.165 0.500 0.490
Ga1 0.000 0.500 0.500
Ga2 0.105 0.500 0.864
Ga3 0.220 0.000 0.168
```

Computed, not measured: crystalline TlNiTe at its relaxed geometry at the PBE-GGA level of DFT.

## Properties
formation energy (no corrections)	-0.070	eV per atom
total magnetization	0.0	Bohr magnetons per cell
ρ	8.1	g cm⁻³

Cell and atoms, written as CIF:
```
data_TlNiTe
_cell_length_a 4.1373
_cell_length_b 4.1373
_cell_length_c 5.4225
_cell_angle_alpha 90.00
_cell_angle_beta 90.00
_cell_angle_gamma 120.00
_space_group_name_H-M_alt 'P 3 m 1'
_space_group_IT_number 156
loop_
_space_group_symop_operation_xyz
'x,y,z'
'-y,x-y,z'
'-x+y,-x,z'
'-y,-x,z'
'-x+y,y,z'
'x,x-y,z'
loop_
_atom_site_label
_atom_site_fract_x
_atom_site_fract_y
_atom_site_fract_z
Tl1 0.0000 0.0000 0.0000
Ni1 0.6667 0.3333 0.3581
Te1 0.3333 0.6667 0.4720
```